Entry 1:
# La6NdY2Tm

La6NdY2Tm after structural relaxation (PBE, Alexandria).

The value obtained for the density of states at the Fermi level is 38.642 states/eV per cell. The total magnetic moment is 0.00 μB/atom. The formation energy is 195 meV per atom.

The structure belongs to space group C2/m (No. 12); the cell edges are 11.476, 7.083 and 9.094 Å and the angles 90.00°, 104.35° and 90.00°. Symmetry generates all atoms from La at (0.136, 0.000, 0.430), La at (0.184, 0.279, 0.808), Nd at (0.000, 0.500, 0.500), Y at (0.086, 0.500, 0.165) and Tm at (0.000, 0.000, 0.000).

---

Entry 2:
# La6Nd2YTm

La6Nd2YTm after structural relaxation (PBE, Alexandria).

The value obtained for the density of states at the Fermi level is 48.863 states/eV per cell. The total magnetic moment is 0.00 μB/atom. The formation energy is 113 meV per atom.

The structure belongs to space group C2/c (No. 15); the cell edges are 9.870, 15.380 and 9.332 Å and the angles 90.00°, 91.91° and 90.00°. Symmetry generates all atoms from La at (0.075, 0.142, 0.099), La at (0.075, 0.348, 0.913), La at (0.242, 0.281, 0.320), Nd at (0.248, 0.455, 0.562), Y at (0.000, 0.075, 0.750) and Tm at (0.000, 0.439, 0.250).

---

Entry 3:
# LaNd5YTm2

LaNd5YTm2 after structural relaxation (PBE, Alexandria).

The value obtained for the density of states at the Fermi level is 57.888 states/eV per cell. The total magnetic moment is 0.00 μB/atom. The formation energy is 151 meV per atom.

The structure belongs to space group Cmc2_1 (No. 36); the cell edges are 5.719, 20.317 and 10.713 Å and the angles 90.00°, 90.00° and 90.00°. Symmetry generates all atoms from La at (0.000, 0.084, 0.000), Nd at (0.000, 0.020, 0.290), Nd at (0.000, 0.115, 0.572), Nd at (0.000, 0.203, 0.256), Nd at (0.000, 0.219, 0.863), Nd at (0.000, 0.483, 0.572), Y at (0.000, 0.301, 0.561), Tm at (0.000, 0.384, 0.868) and Tm at (0.000, 0.387, 0.283).

---

Entry 4:
# La2NdYTm2

La2NdYTm2 after structural relaxation (PBE, Alexandria).

The value obtained for the density of states at the Fermi level is 17.415 states/eV per cell. The total magnetic moment is 0.00 μB/atom. The formation energy is 67 meV per atom.

The structure belongs to space group Pmc2_1 (No. 26); the cell edges are 5.654, 10.365 and 6.918 Å and the angles 90.00°, 90.00° and 90.00°. Symmetry generates all atoms from La at (0.000, 0.027, 0.000), La at (0.500, 0.203, 0.266), Nd at (0.000, 0.307, 0.638), Y at (0.500, 0.470, 0.893), Tm at (0.000, 0.377, 0.145) and Tm at (0.500, 0.130, 0.757).

---

Entry 5:
# LaNdYTm

LaNdYTm after structural relaxation (PBE, Alexandria).

The value obtained for the density of states at the Fermi level is 28.654 states/eV per cell. The total magnetic moment is 0.00 μB/atom. The formation energy is 87 meV per atom.

The structure belongs to space group F-43m (No. 216); the cell edges are 8.165, 8.165 and 8.165 Å and the angles 90.00°, 90.00° and 90.00°. Symmetry generates all atoms from La at (0.000, 0.000, 0.000), Nd at (0.000, 0.000, 0.500), Y at (0.250, 0.250, 0.250) and Tm at (0.250, 0.250, 0.750).

---

Entry 6:
# La4NdY2Tm2

La4NdY2Tm2 after structural relaxation (PBE, Alexandria).

The value obtained for the density of states at the Fermi level is 29.815 states/eV per cell. The total magnetic moment is 0.00 μB/atom. The formation energy is 28 meV per atom.

The structure belongs to space group C2/m (No. 12); the cell edges are 15.433, 5.171 and 8.109 Å and the angles 90.00°, 107.97° and 90.00°. Symmetry generates all atoms from La at (0.055, 0.000, 0.329), La at (0.223, 0.500, 0.331), Nd at (0.000, 0.500, 0.000), Y at (0.112, 0.500, 0.671) and Tm at (0.169, 0.000, 0.000).

---

Entry 7:
# LaNd5Y2Tm

LaNd5Y2Tm after structural relaxation (PBE, Alexandria).

The value obtained for the density of states at the Fermi level is 58.002 states/eV per cell. The total magnetic moment is 0.00 μB/atom. The formation energy is 145 meV per atom.

The structure belongs to space group Cmc2_1 (No. 36); the cell edges are 5.755, 20.323 and 10.694 Å and the angles 90.00°, 90.00° and 90.00°. Symmetry generates all atoms from La at (0.000, 0.085, 0.000), Nd at (0.000, 0.018, 0.287), Nd at (0.000, 0.115, 0.567), Nd at (0.000, 0.204, 0.251), Nd at (0.000, 0.219, 0.860), Nd at (0.000, 0.482, 0.568), Y at (0.000, 0.385, 0.864), Y at (0.000, 0.386, 0.278) and Tm at (0.000, 0.300, 0.556).

---

Entry 8:
# LaNd2YTm5

LaNd2YTm5 after structural relaxation (PBE, Alexandria).

The value obtained for the density of states at the Fermi level is 41.189 states/eV per cell. The total magnetic moment is 0.00 μB/atom. The formation energy is 256 meV per atom.

The structure belongs to space group I4/mcm (No. 140); the cell edges are 8.729, 8.729 and 15.408 Å and the angles 90.00°, 90.00° and 90.00°. Symmetry generates all atoms from La at (0.000, 0.000, 0.250), Nd at (0.117, 0.383, 0.000), Y at (0.000, 0.500, 0.250), Tm at (0.000, 0.000, 0.000) and Tm at (0.210, 0.290, 0.364).

---

Question: Which value of total magnetic moment does entry 1 give?
Answer: 0.00 μB/atom